No. 1
# CrAg2N | the Alexandria database | PBE-GGA | relaxed
# Raw formation energy (eV per atom): 0.49
# Calculated volume (Å³ per cell): 272.56
data_CrAg2N
_chemical_formula_sum 'Cr4 Ag8 N4'
_cell_length_a 8.614
_cell_length_b 8.614
_cell_length_c 3.673
_cell_angle_alpha 90.00
_cell_angle_beta 90.00
_cell_angle_gamma 90.00
_space_group_name_H-M_alt 'I -4 2 d'
_space_group_IT_number 122
_space_group_name_Hall 'I -4 2bw'
loop_
_atom_site_label
_atom_site_type_symbol
_atom_site_fract_x
_atom_site_fract_y
_atom_site_fract_z
_atom_site_occupancy
Cr1 Cr 0.000 0.000 0.000 1
Ag1 Ag 0.126 0.250 0.625 1
N1 N 0.000 0.000 0.500 1

=====

No. 2
# SrTcH2 | the Alexandria database | PBE-GGA | relaxed
# VASP energy (eV per cell): -72.21
# Calculated volume (Å³ per cell): 213.34
data_SrTcH2
_chemical_formula_sum 'Sr4 Tc4 H8'
_cell_length_a 5.409
_cell_length_b 5.409
_cell_length_c 7.293
_cell_angle_alpha 90.00
_cell_angle_beta 90.00
_cell_angle_gamma 90.00
_space_group_name_H-M_alt 'I -4 2 d'
_space_group_IT_number 122
_space_group_name_Hall 'I -4 2bw'
loop_
_atom_site_label
_atom_site_type_symbol
_atom_site_fract_x
_atom_site_fract_y
_atom_site_fract_z
_atom_site_occupancy
Sr1 Sr 0.000 0.000 0.000 1
Tc1 Tc 0.000 0.000 0.500 1
H1 H 0.149 0.250 0.625 1

=====

No. 3
# HoTm4 | the Alexandria database | PBE-GGA | relaxed
# Formation energy (eV per atom): 0.0281
# Calculated volume (Å³ per cell): 299.81
data_HoTm4
_chemical_formula_sum 'Ho2 Tm8'
_cell_length_a 6.042
_cell_length_b 3.494
_cell_length_c 14.337
_cell_angle_alpha 90.00
_cell_angle_beta 97.90
_cell_angle_gamma 90.00
_space_group_name_H-M_alt 'C 1 2/m 1'
_space_group_IT_number 12
loop_
_space_group_symop_operation_xyz
'x,y,z'
'-x,-y,-z'
'-x,y,-z'
'x,-y,z'
'x+1/2,y+1/2,z'
'-x+1/2,-y+1/2,-z'
'-x+1/2,y+1/2,-z'
'x+1/2,-y+1/2,z'
loop_
_atom_site_label
_atom_site_type_symbol
_atom_site_fract_x
_atom_site_fract_y
_atom_site_fract_z
_atom_site_occupancy
Ho1 Ho 0.000 0.000 0.000 1
Tm1 Tm 0.101 0.500 0.799 1
Tm2 Tm 0.200 0.000 0.600 1

=====

No. 4
# La3IrPb | the Alexandria database | PBE-GGA | relaxed
# Formation energy (eV per atom): 0.2989
# Calculated volume (Å³ per cell): 823.92
data_La3IrPb
_chemical_formula_sum 'La12 Ir4 Pb4'
_cell_length_a 5.985
_cell_length_b 5.985
_cell_length_c 23.000
_cell_angle_alpha 90.00
_cell_angle_beta 90.00
_cell_angle_gamma 90.00
_space_group_name_H-M_alt 'I -4 m 2'
_space_group_IT_number 119
_space_group_name_Hall 'I -4 -2'
loop_
_atom_site_label
_atom_site_type_symbol
_atom_site_fract_x
_atom_site_fract_y
_atom_site_fract_z
_atom_site_occupancy
La1 La 0.000 0.000 0.208 1
La2 La 0.000 0.235 0.628 1
Ir1 Ir 0.000 0.500 0.195 1
Pb1 Pb 0.000 0.000 0.500 1
Pb2 Pb 0.000 0.500 0.750 1

=====

No. 5
# Cu2GeCl8 | the Alexandria database | PBE-GGA | relaxed
# Raw formation energy (eV per atom): -0.43
# Calculated volume (Å³ per cell): 734.28
data_Cu2GeCl8
_chemical_formula_sum 'Cu4 Ge2 Cl16'
_cell_length_a 10.859
_cell_length_b 6.711
_cell_length_c 10.761
_cell_angle_alpha 90.00
_cell_angle_beta 110.56
_cell_angle_gamma 90.00
_space_group_name_H-M_alt 'C 1 2/m 1'
_space_group_IT_number 12
loop_
_space_group_symop_operation_xyz
'x,y,z'
'-x,-y,-z'
'-x,y,-z'
'x,-y,z'
'x+1/2,y+1/2,z'
'-x+1/2,-y+1/2,-z'
'-x+1/2,y+1/2,-z'
'x+1/2,-y+1/2,z'
loop_
_atom_site_label
_atom_site_type_symbol
_atom_site_fract_x
_atom_site_fract_y
_atom_site_fract_z
_atom_site_occupancy
Cu1 Cu 0.152 0.000 0.023 1
Ge1 Ge 0.000 0.500 0.500 1
Cl1 Cl 0.038 0.000 0.156 1
Cl2 Cl 0.130 0.269 0.622 1
Cl3 Cl 0.184 0.500 0.039 1

=====

No. 6
# LiCa2Te | the Alexandria database | PBE-GGA | relaxed
# Raw formation energy (eV per atom): -0.75
# Calculated volume (Å³ per cell): 119.11
data_LiCa2Te
_chemical_formula_sum 'Li1 Ca2 Te1'
_cell_length_a 4.419
_cell_length_b 4.390
_cell_length_c 6.525
_cell_angle_alpha 90.00
_cell_angle_beta 109.79
_cell_angle_gamma 90.00
_space_group_name_H-M_alt 'P 1 m 1'
_space_group_IT_number 6
loop_
_space_group_symop_operation_xyz
'x,y,z'
'x,-y,z'
loop_
_atom_site_label
_atom_site_type_symbol
_atom_site_fract_x
_atom_site_fract_y
_atom_site_fract_z
_atom_site_occupancy
Li1 Li 0.000 0.000 0.000 1
Ca1 Ca 0.280 0.000 0.558 1
Ca2 Ca 0.579 0.500 0.158 1
Te1 Te 0.861 0.500 0.720 1